Here is a relaxed In2GePd8 crystal from the Alexandria database. Energies are from PBE-GGA.

The calculated density is 10.463 g/cm3. The calculation puts the total magnetization at 0.0 μB per formula unit. As for the formation enthalpy at 0 K: -41.04 kJ/mol of atoms. The calculation puts the energy at -112.63 eV/cell.

It has space group C2/m (No. 12), with a = 14.8484 Å, b = 4.5683 Å, c = 5.8701 Å, α = 90.00°, β = 113.12° and γ = 90.00°. The inequivalent atoms are In at (0.1831, 0.0000, 0.1828), Ge at (0.0000, 0.5000, 0.5000), Pd at (0.0003, 0.0000, 0.2499), Pd at (0.1387, 0.5000, 0.8974), Pd at (0.1396, 0.5000, 0.3824) and Pd at (0.1802, 0.0000, 0.6808).

---

Here is a relaxed Pm2InGe4Pd3 crystal from the Alexandria database. Energies are from PBE-GGA.

The calculated density is 8.403 g/cm3. The calculation puts the total magnetization at 0.0 μB per formula unit. As for the formation enthalpy at 0 K: -68.32 kJ/mol of atoms. The calculation puts the energy at -53.37 eV/cell.

It has space group P-4m2 (No. 115), with a = 4.2937 Å, b = 4.2937 Å, c = 10.8764 Å, α = 90.00°, β = 90.00° and γ = 90.00°. The inequivalent atoms are Pm at (0.0000, 0.5000, 0.2371), In at (0.0000, 0.0000, 0.5000), Ge at (0.0000, 0.0000, 0.0000), Ge at (0.0000, 0.5000, 0.6524), Ge at (0.5000, 0.5000, 0.0000), Pd at (0.0000, 0.5000, 0.8758) and Pd at (0.5000, 0.5000, 0.5000).

---

Copy entry 2 word for word.
Here is a relaxed Pm2InGe4Pd3 crystal from the Alexandria database. Energies are from PBE-GGA.

The calculated density is 8.403 g/cm3. The calculation puts the total magnetization at 0.0 μB per formula unit. As for the formation enthalpy at 0 K: -68.32 kJ/mol of atoms. The calculation puts the energy at -53.37 eV/cell.

It has space group P-4m2 (No. 115), with a = 4.2937 Å, b = 4.2937 Å, c = 10.8764 Å, α = 90.00°, β = 90.00° and γ = 90.00°. The inequivalent atoms are Pm at (0.0000, 0.5000, 0.2371), In at (0.0000, 0.0000, 0.5000), Ge at (0.0000, 0.0000, 0.0000), Ge at (0.0000, 0.5000, 0.6524), Ge at (0.5000, 0.5000, 0.0000), Pd at (0.0000, 0.5000, 0.8758) and Pd at (0.5000, 0.5000, 0.5000).